Entry 1:
! PaTlAu (PBE, relaxed); values from VASP
&SYSTEM
  ibrav = 0, nat = 3, ntyp = 3
/
ATOMIC_SPECIES
Pa 231.04 Pa.upf
Tl 204.38 Tl.upf
Au 196.97 Au.upf
ATOMIC_POSITIONS crystal
Pa 0.000 0.000 0.000
Tl 0.500 0.500 0.500
Au 0.250 0.250 0.250
CELL_PARAMETERS angstrom
-2.929 3.619 -1.316
-3.032 1.953 3.226
0.789 4.476 1.660
! - formation energy (meV/atom) = -55
! - ΔE to the lowest computed polymorph (kJ per mole of atoms) = 1.7
! - total magnetic moment (μB per formula unit) = 0.94
! - space-group type = No. 216



Entry 2:
! Li2TlHgAs (PBE, relaxed); values from VASP
&SYSTEM
  ibrav = 0, nat = 5, ntyp = 4
/
ATOMIC_SPECIES
Hg 200.59 Hg.upf
As 74.92 As.upf
Li 6.94 Li.upf
Tl 204.38 Tl.upf
ATOMIC_POSITIONS crystal
Hg 0.500 0.500 0.500
As 0.000 0.000 0.000
Li 0.000 0.500 0.000
Tl 0.000 0.000 0.500
Li 0.500 0.000 0.000
CELL_PARAMETERS angstrom
-4.475 -0.500 1.928
-1.816 -0.922 -4.455
0.939 -5.497 0.754
! - formation energy (meV/atom) = -238
! - total magnetic moment (μB per formula unit) = 0.00
! - space-group type = No. 123



Entry 3:
! La4Pm3Ga4 (PBE, relaxed); values from VASP
&SYSTEM
  ibrav = 0, nat = 11, ntyp = 3
/
ATOMIC_SPECIES
Pm 145.00 Pm.upf
Ga 69.72 Ga.upf
La 138.91 La.upf
ATOMIC_POSITIONS crystal
Pm 0.908 0.908 0.816
Ga 0.500 0.776 0.000
Ga 0.279 0.779 0.558
Pm 0.000 0.500 0.000
Ga 0.500 0.224 0.000
La 0.667 0.839 0.335
La 0.667 0.496 0.335
La 0.333 0.161 0.665
La 0.333 0.504 0.665
Ga 0.721 0.221 0.442
Pm 0.092 0.092 0.184
CELL_PARAMETERS angstrom
-3.276 -1.248 1.018
2.014 -8.259 -3.645
4.268 1.978 9.611
! - formation energy (meV/atom) = -415
! - total magnetic moment (μB per formula unit) = 0.00
! - space-group type = No. 71



Entry 4:
! TaTiCN (PBE, relaxed); values from VASP
&SYSTEM
  ibrav = 0, nat = 4, ntyp = 4
/
ATOMIC_SPECIES
C 12.01 C.upf
N 14.01 N.upf
Ti 47.87 Ti.upf
Ta 180.95 Ta.upf
ATOMIC_POSITIONS crystal
C 0.998 0.998 0.998
N 0.501 0.501 0.501
Ti 0.254 0.254 0.254
Ta 0.747 0.747 0.747
CELL_PARAMETERS angstrom
5.375 -0.007 -0.004
4.486 2.961 -0.004
4.486 1.344 2.638
! - formation energy from raw total energies (kJ/mol of atoms) = -103.9
! - ΔE to the lowest computed polymorph (kJ per mole of atoms) = 0.0
! - total magnetic moment (μB per formula unit) = 0.00
! - space-group type = No. 160



Number 1: D(E_F) 1.208 states/eV per atom, volume 26.7 Å³/atom. Number 2: D(E_F) 0.395 states/eV per atom, volume 27.0 Å³/atom. Number 3: D(E_F) 1.069 states/eV per atom, volume 29.1 Å³/atom. Number 4: D(E_F) 0.452 states/eV per atom, volume 10.5 Å³/atom.